Record 1
Density functional theory data (PBE) for La2Pm6Tl after structural relaxation.

Unit cell a=7.812 b=11.054 c=7.812 alpha=72.71 beta=96.98 gamma=72.72
Element x y z (fractional)
Tl: 0.911 0.750 0.089
Pm: 0.215 0.095 0.400
Pm: 0.199 0.393 0.502
Pm: 0.400 0.595 0.215
Pm: 0.600 0.405 0.785
Pm: 0.863 0.050 0.141
Pm: 0.141 0.550 0.863
Tl: 0.089 0.250 0.911
Pm: 0.859 0.450 0.137
La: 0.801 0.241 0.529
La: 0.199 0.759 0.471
Pm: 0.801 0.607 0.498
La: 0.471 0.259 0.199
Pm: 0.502 0.893 0.198
Pm: 0.137 0.950 0.859
La: 0.529 0.741 0.801
Pm: 0.498 0.107 0.802
Pm: 0.785 0.905 0.600

Values from the calculation:
* calculated total energy: -81.45 eV per cell
* D(E_F): 1.27 states/eV per atom
* symmetry: C2/c (15)
* magnetic moment: 0.0 μB per formula unit

Record 2
Density functional theory data (PBE) for LaCe2ThAs4 after structural relaxation.

Unit cell a=4.269 b=7.392 c=7.396 alpha=70.55 beta=90.00 gamma=90.00
Last column: magnetic moment on the atom in μB.
Element x y z (fractional)
As: 0.500 0.753 0.253  -0.01
Ce: 0.500 0.000 0.500  0.64
As: 0.500 0.247 0.747  -0.01
As: 0.000 0.243 0.257  -0.01
Ce: 0.000 0.000 0.000  0.70
La: 0.500 0.500 0.000  0.02
As: 0.000 0.757 0.743  -0.01
Th: 0.000 0.500 0.500  0.03

Values from the calculation:
* calculated total energy: -54.55 eV per cell
* D(E_F): 1.50 states/eV per atom
* symmetry: P2/m (10)
* magnetic moment: 1.6 μB per formula unit

Record 3
Density functional theory data (PBE) for Ac2Pr3Pt2 after structural relaxation.

Unit cell a=4.035 b=6.697 c=9.604 alpha=112.92 beta=90.00 gamma=107.53
Element x y z (fractional)
Pt: 0.162 0.324 0.233
Pr: 0.382 0.763 0.571
Pr: 0.500 0.000 0.000
Pt: 0.838 0.676 0.767
Ac: 0.836 0.672 0.197
Ac: 0.164 0.328 0.803
Pr: 0.618 0.237 0.429

Values from the calculation:
* calculated total energy: -39.39 eV per cell
* D(E_F): 1.23 states/eV per atom
* symmetry: C2/m (12)
* magnetic moment: 0.0 μB per formula unit